Density functional theory data (GGA+U) for InCoF2 after structural relaxation.

Unit cell a=8.006 b=8.006 c=8.006 alpha=23.36 beta=23.36 gamma=23.36
Fractional positions:
F1 0.922 0.922 0.922
F2 0.078 0.078 0.078
Co1 0.000 0.000 0.000
In1 0.500 0.500 0.500

Values from the calculation:
- Polymorph energy (0 for the lowest one): 0.50 eV per formula unit